Entry 1:
A plane-wave DFT calculation with GGA-PBE was carried out for an optimized crystal structure of NaZr2.

Values from the calculation:
**Space group**: No. 227
**Relative energy among the computed polymorphs**: 372.3 meV/atom
**Crystal system**: cubic

a = 6.0338 Å, b = 6.0338 Å, c = 6.0338 Å
α = 60.00°, β = 60.00°, γ = 60.00°
Closest atoms and distances in Å follow each position.
Element x y z (fractional)
1 Na 0.0000 0.0000 0.0000  12 Zr 3.54, 4 Na 3.69
2 Na 0.2500 0.2500 0.2500  12 Zr 3.54, 4 Na 3.69
3 Zr 0.6250 0.6250 0.1250  6 Zr 3.02
4 Zr 0.6250 0.1250 0.6250  6 Zr 3.02
5 Zr 0.1250 0.6250 0.6250  6 Zr 3.02
6 Zr 0.6250 0.6250 0.6250  6 Zr 3.02

=====

Entry 2:
A plane-wave DFT calculation with GGA-PBE was carried out for an optimized crystal structure of NaZr2.

Values from the calculation:
**Space group**: No. 63
**Relative energy among the computed polymorphs**: 242.9 meV/atom
**Crystal system**: orthorhombic

a = 17.1647 Å, b = 2.9874 Å, c = 5.5681 Å
α = 90.00°, β = 90.00°, γ = 90.00°
Closest atoms and distances in Å follow each position.
Element x y z (fractional)
1 Na 0.3342 0.0000 0.0000  2 Na 2.99, 10 Zr 3.25-3.34
2 Na 0.8342 0.5000 0.0000  2 Na 2.99, 10 Zr 3.26-3.34
3 Na 0.1103 0.0000 0.5000  2 Na 2.99, 10 Zr 3.26-3.34
4 Na 0.6102 0.5000 0.5000  2 Na 2.99, 10 Zr 3.25-3.34
5 Zr 0.0027 0.0000 0.0000  8 Zr 2.99-3.33, 4 Na 3.26-3.34
6 Zr 0.6603 0.0000 0.0000  4 Zr 2.99-3.09, 6 Na 3.27-3.34
7 Zr 0.1603 0.5000 0.0000  4 Zr 2.99-3.09, 6 Na 3.27-3.34
8 Zr 0.5026 0.5000 0.0000  8 Zr 2.99-3.33, 4 Na 3.25-3.34
9 Zr 0.4418 0.0000 0.5000  8 Zr 2.99-3.33, 4 Na 3.25-3.34
10 Zr 0.7842 0.0000 0.5000  4 Zr 2.99-3.09, 6 Na 3.27-3.34
11 Zr 0.2841 0.5000 0.5000  4 Zr 2.99-3.09, 6 Na 3.27-3.34
12 Zr 0.9417 0.5000 0.5000  8 Zr 2.99-3.33, 4 Na 3.26-3.34

=====

Entry 3:
A plane-wave DFT calculation with GGA-PBE was carried out for an optimized crystal structure of NaZr5.

Values from the calculation:
**Space group**: No. 189
**Relative energy among the computed polymorphs**: 0.0 meV/atom
**Crystal system**: hexagonal

a = 5.6081 Å, b = 5.6081 Å, c = 5.1744 Å
α = 90.00°, β = 90.00°, γ = 60.00°
Closest atoms and distances in Å follow each position.
Element x y z (fractional)
1 Na 0.0000 0.0000 0.0000  12 Zr 3.21-3.24
2 Zr 0.3333 0.3333 0.0000  9 Zr 3.18-3.24, 3 Na 3.24
3 Zr 0.6667 0.6667 0.0000  9 Zr 3.18-3.24, 3 Na 3.24
4 Zr 0.6598 0.0000 0.5000  10 Zr 3.18-3.30, 2 Na 3.21
5 Zr 0.0000 0.3402 0.5000  10 Zr 3.18-3.30, 2 Na 3.21
6 Zr 0.3402 0.6598 0.5000  10 Zr 3.18-3.30, 2 Na 3.21